[1]
DFT (PBE) results for a relaxed structure of NaLaIr.

extended XYZ file:
```
3
Lattice="0.582 2.845 3.843 -2.303 4.223 0.241 -3.616 0.596 3.125" Properties=species:S:1:pos:R:3 pbc="T T T"
La -1.334 1.916 1.802
Ir 0.000 0.000 0.000
Na -4.003 5.748 5.406
```

Properties
- Symmetry: F-43m, No. 216
- Crystal system: cubic
- Uncorrected energy: -15.5 eV/f.u.
- Excess energy over the best structure of this formula in the dataset: 0 kJ/mol of formula units

***

[2]
DFT (PBE) results for a relaxed structure of NaLa2IrO6.

extended XYZ file:
```
20
Lattice="-2.932 -3.199 3.503 3.377 -4.672 -1.441 5.110 1.880 5.878" Properties=species:S:1:pos:R:3 pbc="T T T"
O 3.569 0.844 4.644
O 4.813 -3.920 7.384
O 1.342 -2.054 5.454
O 2.851 -4.960 5.175
O 0.965 -3.657 2.851
O 0.742 -2.072 0.555
O 4.589 -2.335 5.088
O 3.574 -1.391 7.548
O 1.986 -6.835 3.295
O 1.980 -4.601 0.392
O 4.213 -3.937 2.485
O 2.703 -1.032 2.765
La 2.421 -3.747 7.241
La 5.450 -4.603 4.864
La 0.104 -1.388 3.075
La 3.133 -2.244 0.698
Na 0.000 0.000 0.000
Na 2.777 -2.996 3.970
Ir 2.555 0.940 2.939
Ir 0.222 -3.936 1.031
```

Properties
- Symmetry: P2_1/c, No. 14
- Crystal system: monoclinic
- Uncorrected energy: -72.5 eV/f.u.

***

[3]
DFT (PBE) results for a relaxed structure of LaNb2IrOs.

extended XYZ file:
```
5
Lattice="-2.243 2.243 5.308 2.243 -2.243 5.308 2.243 2.243 -5.308" Properties=species:S:1:pos:R:3 pbc="T T T"
Ir 0.000 0.000 3.995
Nb 2.243 0.000 2.648
Nb 0.000 2.243 2.648
Os 0.000 0.000 6.634
La 0.000 0.000 10.615
```

Properties
- Symmetry: I4mm, No. 107
- Energy of formation from the pure elements: -192.9 kJ/mol of formula units
- Crystal system: tetragonal
- Uncorrected energy: -47.2 eV/f.u.

***

[4]
DFT (PBE) results for a relaxed structure of LaNbSb2Ir2.

extended XYZ file:
```
12
Lattice="6.536 0.000 0.000 0.000 4.536 0.000 0.000 0.000 9.378" Properties=species:S:1:pos:R:3 pbc="T T T"
Ir 4.790 2.268 0.985
Ir 5.103 2.268 6.256
Ir 1.522 0.000 8.392
Ir 1.835 0.000 3.122
Sb 0.036 0.000 6.063
Sb 3.304 2.268 3.315
Sb 6.436 0.000 1.130
Sb 3.168 2.268 8.247
Nb 6.508 2.268 8.315
Nb 3.240 0.000 1.063
La 3.271 0.000 5.809
La 0.003 2.268 3.568
```

Properties
- Symmetry: Pmn2_1, No. 31
- Crystal system: orthorhombic
- Uncorrected energy: -45.2 eV/f.u.

***

[5]
DFT (PBE) results for a relaxed structure of LaTaNbIr2.

extended XYZ file:
```
5
Lattice="-2.315 2.315 5.133 2.315 -2.315 5.133 2.315 2.315 -5.133" Properties=species:S:1:pos:R:3 pbc="T T T"
Ir 2.315 0.000 2.561
Ir 0.000 2.315 2.561
Ta 0.000 0.000 6.550
Nb 0.000 0.000 3.731
La 0.000 0.000 10.265
```

Properties
- Symmetry: I4mm, No. 107
- Energy of formation from the pure elements: -87.2 kJ/mol of formula units
- Crystal system: tetragonal
- Uncorrected energy: -45.5 eV/f.u.

***

[6]
DFT (PBE) results for a relaxed structure of LaZrNbIr2.

extended XYZ file:
```
5
Lattice="-2.395 2.395 5.039 2.395 -2.395 5.039 2.395 2.395 -5.039" Properties=species:S:1:pos:R:3 pbc="T T T"
Zr 0.000 0.000 6.448
Ir 0.000 2.395 2.602
Ir 2.395 0.000 2.602
Nb 0.000 0.000 3.516
La 0.000 0.000 10.024
```

Properties
- Symmetry: I4mm, No. 107
- Energy of formation from the pure elements: -116.0 kJ/mol of formula units
- Crystal system: tetragonal
- Uncorrected energy: -42.5 eV/f.u.

***

[7]
DFT (PBE) results for a relaxed structure of LaNdIr.

extended XYZ file:
```
3
Lattice="1.741 -4.217 -1.600 -3.027 -3.613 -1.075 -0.672 -1.300 -4.608" Properties=species:S:1:pos:R:3 pbc="T T T"
Nd -1.469 -6.848 -5.463
Ir -0.490 -2.283 -1.821
La 0.000 0.000 0.000
```

Properties
- Symmetry: F-43m, No. 216
- Energy of formation from the pure elements: 37.8 kJ/mol of formula units
- Crystal system: cubic
- Uncorrected energy: -18.1 eV/f.u.

***

[8]
DFT (PBE) results for a relaxed structure of LaNd2NiSn3Ir2.

extended XYZ file:
```
9
Lattice="-3.068 -2.582 -0.840 -0.133 -2.187 7.209 -4.271 5.798 -2.219" Properties=species:S:1:pos:R:3 pbc="T T T"
Sn -1.646 -2.923 5.008
Sn -2.606 -0.412 0.795
Sn -4.754 3.073 -2.072
Ir -4.427 1.840 0.526
Ir -3.060 -0.799 3.642
Nd -4.323 4.896 0.746
Nd -1.889 0.197 6.294
La -2.573 2.110 2.916
Ni -0.006 0.005 0.007
```

Properties
- Symmetry: Amm2, No. 38
- Crystal system: orthorhombic
- Uncorrected energy: -56.4 eV/f.u.

***

[9]
DFT (PBE) results for a relaxed structure of La2NdNiSn3Ir2.

extended XYZ file:
```
9
Lattice="-2.760 -1.704 -2.556 -5.585 2.019 4.686 2.228 4.669 -5.519" Properties=species:S:1:pos:R:3 pbc="T T T"
La -4.280 4.745 1.459
La -1.036 5.846 -2.779
Ir -4.376 2.057 0.018
Ir -1.752 2.947 -3.410
Sn -3.906 4.180 -1.905
Sn -2.742 -0.345 -0.145
Sn -0.850 0.297 -2.617
Nd -1.381 2.752 -0.343
Ni -0.005 0.010 -0.001
```

Properties
- Symmetry: Amm2, No. 38
- Crystal system: orthorhombic
- Uncorrected energy: -56.7 eV/f.u.

***

[10]
DFT (PBE) results for a relaxed structure of LaNdP2Ir2O2.

extended XYZ file:
```
8
Lattice="-1.270 -0.757 3.724 -3.467 -1.377 -1.462 3.294 -7.805 -0.462" Properties=species:S:1:pos:R:3 pbc="T T T"
O 2.647 -8.155 1.401
O 1.548 -8.465 -1.192
P 2.156 -5.110 -0.303
P -1.216 -3.798 0.969
Ir 1.020 -4.301 1.630
Ir -0.078 -4.611 -0.964
La 0.470 -1.114 -0.066
Nd 0.446 -7.736 0.736
```

Properties
- Symmetry: P4mm, No. 99
- Crystal system: tetragonal
- Uncorrected energy: -63.8 eV/f.u.

***

[11]
DFT (PBE) results for a relaxed structure of LaNdP2Ir2S2.

extended XYZ file:
```
8
Lattice="4.334 0.000 0.000 0.000 4.334 0.000 0.000 0.000 8.843" Properties=species:S:1:pos:R:3 pbc="T T T"
P 2.167 2.167 3.344
P 0.000 0.000 5.537
Ir 0.000 2.167 4.445
Ir 2.167 0.000 4.445
S 2.167 0.000 8.806
S 0.000 2.167 8.806
Nd 2.167 2.167 7.165
La 0.000 0.000 1.667
```

Properties
- Symmetry: P4mm, No. 99
- Crystal system: tetragonal
- Uncorrected energy: -55.2 eV/f.u.

***

[12]
DFT (PBE) results for a relaxed structure of LaNdP2Ir2Se2.

extended XYZ file:
```
8
Lattice="-3.790 -0.532 1.260 1.317 -0.419 3.785 -0.913 9.829 1.407" Properties=species:S:1:pos:R:3 pbc="T T T"
Ir 0.201 4.721 2.598
Ir -2.353 4.664 1.336
Se -2.805 9.526 2.032
Se -0.251 9.582 3.294
P -1.571 3.130 3.039
P -0.584 6.292 0.901
La -0.216 2.324 0.333
Nd -1.931 7.000 3.593
```

Properties
- Symmetry: P4mm, No. 99
- Crystal system: tetragonal
- Uncorrected energy: -53.7 eV/f.u.

***

[13]
DFT (PBE) results for a relaxed structure of LaNd2Ir2PdPb3.

extended XYZ file:
```
9
Lattice="-2.698 -0.831 -2.929 -4.338 -4.041 5.142 -1.274 7.679 -1.005" Properties=species:S:1:pos:R:3 pbc="T T T"
Nd -2.552 -2.369 3.022
Nd -0.753 4.511 -0.586
La -2.333 1.512 1.720
Pb -5.516 2.285 1.607
Pb -6.008 -2.448 3.403
Pb -3.749 6.192 -1.129
Pd -5.606 3.633 4.132
Ir -3.640 3.337 -0.419
Ir -4.654 -0.542 1.615
```

Properties
- Symmetry: Amm2, No. 38
- Crystal system: orthorhombic
- Uncorrected energy: -54.0 eV/f.u.

***

[14]
DFT (PBE) results for a relaxed structure of La2NdIr2PdPb3.

extended XYZ file:
```
9
Lattice="4.141 0.000 0.000 0.000 6.792 3.907 0.000 -6.792 3.907" Properties=species:S:1:pos:R:3 pbc="T T T"
Nd 0.000 0.000 3.229
Pb 2.070 1.740 1.018
Pb 2.070 -1.740 1.018
Pb 2.070 0.000 5.782
Ir 2.070 -2.269 3.913
Ir 2.070 2.269 3.913
Pd 0.000 0.000 0.013
La 0.000 -2.823 6.186
La 0.000 2.823 6.186
```

Properties
- Symmetry: Amm2, No. 38
- Crystal system: orthorhombic
- Uncorrected energy: -54.3 eV/f.u.

***

[15]
DFT (PBE) results for a relaxed structure of La2NdSn3IrPd2.

extended XYZ file:
```
9
Lattice="-4.039 -0.881 -0.669 1.937 -6.968 -2.515 -1.475 1.123 7.429" Properties=species:S:1:pos:R:3 pbc="T T T"
Pd -2.355 -2.021 3.776
Pd -1.222 -4.709 0.472
Sn -1.545 -2.158 -0.939
Sn -1.672 -4.837 3.362
Sn -2.379 -0.179 1.494
Nd 0.189 -2.391 2.010
La 1.068 -6.306 1.859
La -0.334 -2.980 5.947
Ir 0.000 -0.005 0.004
```

Properties
- Symmetry: Amm2, No. 38
- Crystal system: orthorhombic
- Uncorrected energy: -54.0 eV/f.u.

***

[16]
DFT (PBE) results for a relaxed structure of La2NdSn3Ir2Pd.

extended XYZ file:
```
9
Lattice="-0.464 -4.150 0.580 5.683 -1.314 -4.851 1.425 0.875 7.400" Properties=species:S:1:pos:R:3 pbc="T T T"
Sn 5.059 -2.401 2.187
Sn 0.143 -1.857 2.152
Sn 1.211 -2.405 -0.920
Nd 2.948 -0.182 1.057
Ir 2.619 -1.928 3.621
Ir 4.046 -2.662 -0.485
La 4.730 0.111 4.572
La 6.508 -0.803 -0.542
Pd 0.011 -0.001 0.004
```

Properties
- Symmetry: Amm2, No. 38
- Crystal system: orthorhombic
- Uncorrected energy: -57.1 eV/f.u.

***

[17]
DFT (PBE) results for a relaxed structure of La2NdSn4Ir2Pd2.

extended XYZ file:
```
11
Lattice="-2.117 2.310 13.559 2.117 -2.310 13.559 2.117 2.310 -13.559" Properties=species:S:1:pos:R:3 pbc="T T T"
Sn 2.117 0.000 5.301
Sn 0.000 2.310 8.258
Sn 0.000 0.000 14.966
Sn 0.000 0.000 12.151
Pd 2.117 0.000 2.662
Pd 0.000 2.310 10.897
Nd 0.000 0.000 0.000
La 0.000 2.310 4.125
La 2.117 0.000 9.434
Ir 0.000 0.000 20.249
Ir 0.000 0.000 6.869
```

Properties
- Symmetry: Immm, No. 71
- Crystal system: orthorhombic
- Uncorrected energy: -66.7 eV/f.u.

***

[18]
DFT (PBE) results for a relaxed structure of La2NdZn3Ir2Pt.

extended XYZ file:
```
9
Lattice="4.032 0.000 0.000 0.000 6.406 3.671 0.000 -6.406 3.671" Properties=species:S:1:pos:R:3 pbc="T T T"
Ir 2.016 2.143 3.655
Ir 2.016 -2.143 3.655
Pt 0.000 0.000 7.326
La 0.000 -2.677 1.543
La 0.000 2.677 1.543
Zn 2.016 -1.524 6.452
Zn 2.016 1.524 6.452
Zn 2.016 0.000 1.792
Nd 0.000 0.000 4.296
```

Properties
- Symmetry: Amm2, No. 38
- Energy of formation from the pure elements: -626.0 kJ/mol of formula units
- Crystal system: orthorhombic
- Uncorrected energy: -48.7 eV/f.u.

***

[19]
DFT (PBE) results for a relaxed structure of La2NiIr.

extended XYZ file:
```
4
Lattice="-2.868 1.337 2.900 -0.960 -5.544 1.607 1.987 -3.981 3.800" Properties=species:S:1:pos:R:3 pbc="T T T"
Ir 0.430 -3.995 2.268
Ni -0.840 -4.842 4.578
La 0.142 -1.316 0.747
La -0.547 -7.558 6.120
```

Properties
- Symmetry: Amm2, No. 38
- Energy of formation from the pure elements: -216.7 kJ/mol of formula units
- Crystal system: orthorhombic
- Uncorrected energy: -26.5 eV/f.u.

***

[20]
DFT (PBE) results for a relaxed structure of LaNi2Ir2.

extended XYZ file:
```
10
Lattice="-0.992 3.290 -2.219 0.923 -2.033 -3.427 -9.755 -3.367 -0.631" Properties=species:S:1:pos:R:3 pbc="T T T"
Ni -7.913 -3.907 -2.256
Ni -4.912 -1.055 -3.139
Ni -4.877 -1.683 -0.316
Ni -1.876 1.169 -1.199
La -1.963 -1.853 -1.871
La -7.826 -0.885 -1.584
Ir -0.034 0.629 -2.823
Ir -4.112 0.397 -1.343
Ir -5.677 -3.135 -2.111
Ir 0.000 0.000 0.000
```

Properties
- Symmetry: P4/nmm, No. 129
- Energy of formation from the pure elements: -83.9 kJ/mol of formula units
- Crystal system: tetragonal
- Uncorrected energy: -34.6 eV/f.u.